No. 1
A plane-wave DFT calculation with GGA-PBE was carried out for an optimized crystal structure of La2Nd2Hg.

## Properties
Distance to the lowest polymorph of the same formula = 0.000 eV per atom
Volume = 33.74 A^3/atom
Magnetization = 0.000 μB per atom
Density = 7.5 g/cm3
Formation energy from the elements = -0.93 eV/f.u.
Space group = No. 139
Energy = -4.125 eV/atom

a = 3.7979 Å, b = 3.7979 Å, c = 23.3895 Å
α = 90.00°, β = 90.00°, γ = 90.00°
Fractional coordinates of all 10 atoms:
La1 0.0000 0.0000 0.0870
La2 0.0000 0.0000 0.9130
La3 0.5000 0.5000 0.4130
La4 0.5000 0.5000 0.5870
Nd1 0.0000 0.0000 0.3026
Nd2 0.0000 0.0000 0.6974
Nd3 0.5000 0.5000 0.1974
Nd4 0.5000 0.5000 0.8026
Hg1 0.0000 0.0000 0.5000
Hg2 0.5000 0.5000 0.0000

=====

No. 2
A plane-wave DFT calculation with GGA-PBE was carried out for an optimized crystal structure of La3Nd3Hg2.

## Properties
Volume = 33.12 A^3/atom
Magnetization = 0.000 μB per atom
Density = 7.8 g/cm3
Formation energy from the elements = -1.48 eV/f.u.
Space group = No. 63
Energy = -3.896 eV/atom

a = 6.6465 Å, b = 6.6465 Å, c = 16.4176 Å
α = 90.00°, β = 90.00°, γ = 133.06°
Fractional coordinates of all 16 atoms:
La1 0.0391 0.9609 0.6117
La2 0.0391 0.9609 0.8883
La3 0.2985 0.7015 0.7500
La4 0.7015 0.2985 0.2500
La5 0.9609 0.0391 0.1117
La6 0.9609 0.0391 0.3883
Nd1 0.3605 0.6395 0.5308
Nd2 0.3605 0.6395 0.9692
Nd3 0.4307 0.5693 0.2500
Nd4 0.5693 0.4307 0.7500
Nd5 0.6395 0.3605 0.0308
Nd6 0.6395 0.3605 0.4692
Hg1 0.2292 0.7708 0.1286
Hg2 0.2292 0.7708 0.3714
Hg3 0.7708 0.2292 0.6286
Hg4 0.7708 0.2292 0.8714

=====

No. 3
A plane-wave DFT calculation with GGA-PBE was carried out for an optimized crystal structure of La2Nd6Hg.

## Properties
Distance to the lowest polymorph of the same formula = 0.119 eV per atom
Volume = 35.06 A^3/atom
Magnetization = 0.000 μB per atom
Density = 7.1 g/cm3
Formation energy from the elements = 0.31 eV/f.u.
Space group = No. 65
Energy = -4.272 eV/atom

a = 10.1695 Å, b = 10.1695 Å, c = 3.6081 Å
α = 90.00°, β = 90.00°, γ = 122.27°
Fractional coordinates of all 9 atoms:
La1 0.1711 0.8289 0.0000
La2 0.8289 0.1711 0.0000
Nd1 0.1645 0.4919 0.5000
Nd2 0.2149 0.2149 0.0000
Nd3 0.4919 0.1645 0.5000
Nd4 0.5081 0.8355 0.5000
Nd5 0.7851 0.7851 0.0000
Nd6 0.8355 0.5081 0.5000
Hg1 0.5000 0.5000 0.5000

=====

No. 4
A plane-wave DFT calculation with GGA-PBE was carried out for an optimized crystal structure of La6NdHg2.

## Properties
Distance to the lowest polymorph of the same formula = 0.000 eV per atom
Volume = 33.68 A^3/atom
Magnetization = 0.000 μB per atom
Density = 7.6 g/cm3
Formation energy from the elements = -1.99 eV/f.u.
Space group = No. 12
Energy = -4.103 eV/atom

a = 6.8765 Å, b = 6.8765 Å, c = 12.4079 Å
α = 107.40°, β = 107.40°, γ = 32.94°
Fractional coordinates of all 9 atoms:
La1 0.0232 0.0232 0.3372
La2 0.3097 0.3097 0.4087
La3 0.3170 0.3170 0.1244
La4 0.6830 0.6830 0.8756
La5 0.6903 0.6903 0.5913
La6 0.9768 0.9768 0.6628
Nd1 0.0000 0.0000 0.0000
Hg1 0.3577 0.3577 0.8040
Hg2 0.6423 0.6423 0.1960

=====

No. 5
A plane-wave DFT calculation with GGA-PBE was carried out for an optimized crystal structure of LaNdHg.

## Properties
Distance to the lowest polymorph of the same formula = 0.201 eV per atom
Volume = 35.35 A^3/atom
Magnetization = 0.209 μB per atom
Density = 7.6 g/cm3
Formation energy from the elements = -0.34 eV/f.u.
Space group = No. 216
Energy = -3.446 eV/atom

a = 7.5136 Å, b = 7.5136 Å, c = 7.5136 Å
α = 90.00°, β = 90.00°, γ = 90.00°
Fractional coordinates of all 12 atoms:
La1 0.0000 0.0000 0.0000
La2 0.0000 0.5000 0.5000
La3 0.5000 0.0000 0.5000
La4 0.5000 0.5000 0.0000
Nd1 0.0000 0.0000 0.5000
Nd2 0.0000 0.5000 0.0000
Nd3 0.5000 0.0000 0.0000
Nd4 0.5000 0.5000 0.5000
Hg1 0.2500 0.2500 0.7500
Hg2 0.2500 0.7500 0.2500
Hg3 0.7500 0.2500 0.2500
Hg4 0.7500 0.7500 0.7500

=====

No. 6
A plane-wave DFT calculation with GGA-PBE was carried out for an optimized crystal structure of La6NdHg2.

## Properties
Distance to the lowest polymorph of the same formula = 0.055 eV per atom
Volume = 32.30 A^3/atom
Magnetization = 0.000 μB per atom
Density = 7.9 g/cm3
Formation energy from the elements = -1.49 eV/f.u.
Space group = No. 15
Energy = -4.048 eV/atom

a = 10.0419 Å, b = 10.0419 Å, c = 6.1446 Å
α = 96.96°, β = 96.96°, γ = 71.63°
Fractional coordinates of all 18 atoms:
La1 0.0610 0.8238 0.9738
La2 0.1369 0.3863 0.1575
La3 0.1762 0.9390 0.5262
La4 0.2615 0.5044 0.6913
La5 0.3863 0.1369 0.6575
La6 0.4956 0.7385 0.8087
La7 0.5044 0.2615 0.1913
La8 0.6137 0.8631 0.3425
La9 0.7385 0.4956 0.3087
La10 0.8238 0.0610 0.4738
La11 0.8631 0.6137 0.8425
La12 0.9390 0.1762 0.0262
Nd1 0.3632 0.6368 0.2500
Nd2 0.6368 0.3632 0.7500
Hg1 0.0205 0.2924 0.5953
Hg2 0.2924 0.0205 0.0953
Hg3 0.7076 0.9795 0.9047
Hg4 0.9795 0.7076 0.4047

=====

No. 7
A plane-wave DFT calculation with GGA-PBE was carried out for an optimized crystal structure of La8NdHg2.

## Properties
Distance to the lowest polymorph of the same formula = 0.000 eV per atom
Volume = 34.08 A^3/atom
Magnetization = 0.000 μB per atom
Density = 7.3 g/cm3
Formation energy from the elements = -1.65 eV/f.u.
Space group = No. 12
Energy = -4.222 eV/atom

a = 9.0819 Å, b = 9.0819 Å, c = 8.6229 Å
α = 113.23°, β = 113.23°, γ = 35.39°
Fractional coordinates of all 11 atoms:
La1 0.0487 0.0487 0.2418
La2 0.1514 0.1514 0.7084
La3 0.3100 0.3100 0.5395
La4 0.3951 0.3951 0.0315
La5 0.6049 0.6049 0.9685
La6 0.6900 0.6900 0.4605
La7 0.8486 0.8486 0.2916
La8 0.9513 0.9513 0.7582
Nd1 0.5000 0.5000 0.5000
Hg1 0.2148 0.2148 0.1317
Hg2 0.7852 0.7852 0.8683

=====

No. 8
A plane-wave DFT calculation with GGA-PBE was carried out for an optimized crystal structure of LaNd2Hg5.

## Properties
Volume = 27.30 A^3/atom
Magnetization = 0.000 μB per atom
Density = 10.9 g/cm3
Formation energy from the elements = -3.66 eV/f.u.
Space group = No. 139
Energy = -2.454 eV/atom

a = 5.3644 Å, b = 5.3644 Å, c = 15.1769 Å
α = 90.00°, β = 90.00°, γ = 90.00°
Fractional coordinates of all 16 atoms:
La1 0.0000 0.0000 0.0000
La2 0.5000 0.5000 0.5000
Nd1 0.0000 0.0000 0.2700
Nd2 0.0000 0.0000 0.7300
Nd3 0.5000 0.5000 0.2300
Nd4 0.5000 0.5000 0.7700
Hg1 0.0000 0.0000 0.5000
Hg2 0.0000 0.5000 0.1240
Hg3 0.0000 0.5000 0.3760
Hg4 0.0000 0.5000 0.6240
Hg5 0.0000 0.5000 0.8760
Hg6 0.5000 0.0000 0.1240
Hg7 0.5000 0.0000 0.3760
Hg8 0.5000 0.0000 0.6240
Hg9 0.5000 0.0000 0.8760
Hg10 0.5000 0.5000 0.0000

=====

No. 9
A plane-wave DFT calculation with GGA-PBE was carried out for an optimized crystal structure of LaNd6Hg5.

## Properties
Volume = 29.22 A^3/atom
Magnetization = 0.015 μB per atom
Density = 9.5 g/cm3
Formation energy from the elements = -4.11 eV/f.u.
Space group = No. 65
Energy = -3.263 eV/atom

a = 8.7251 Å, b = 8.7251 Å, c = 7.8085 Å
α = 90.00°, β = 90.00°, γ = 143.85°
Fractional coordinates of all 12 atoms:
La1 0.0000 0.0000 0.0000
Nd1 0.1751 0.8249 0.2494
Nd2 0.1751 0.8249 0.7506
Nd3 0.5000 0.5000 0.2774
Nd4 0.5000 0.5000 0.7226
Nd5 0.8249 0.1751 0.2494
Nd6 0.8249 0.1751 0.7506
Hg1 0.0000 0.0000 0.5000
Hg2 0.3317 0.6683 0.5000
Hg3 0.3476 0.6524 0.0000
Hg4 0.6524 0.3476 0.0000
Hg5 0.6683 0.3317 0.5000

=====

No. 10
A plane-wave DFT calculation with GGA-PBE was carried out for an optimized crystal structure of La2Nd5Hg.

## Properties
Volume = 33.10 A^3/atom
Magnetization = 0.000 μB per atom
Density = 7.5 g/cm3
Formation energy from the elements = -0.57 eV/f.u.
Space group = No. 121
Energy = -4.321 eV/atom

a = 7.1832 Å, b = 7.1832 Å, c = 10.2649 Å
α = 90.00°, β = 90.00°, γ = 90.00°
Fractional coordinates of all 16 atoms:
La1 0.0000 0.5000 0.0000
La2 0.0000 0.5000 0.5000
La3 0.5000 0.0000 0.0000
La4 0.5000 0.0000 0.5000
Nd1 0.0000 0.0000 0.0000
Nd2 0.2496 0.2496 0.2501
Nd3 0.2504 0.2504 0.7501
Nd4 0.2504 0.7496 0.2499
Nd5 0.2496 0.7504 0.7499
Nd6 0.5000 0.5000 0.5000
Nd7 0.7496 0.2504 0.2499
Nd8 0.7504 0.2496 0.7499
Nd9 0.7504 0.7504 0.2501
Nd10 0.7496 0.7496 0.7501
Hg1 0.0000 0.0000 0.5000
Hg2 0.5000 0.5000 0.0000

=====

No. 11
A plane-wave DFT calculation with GGA-PBE was carried out for an optimized crystal structure of La3Nd6Hg.

## Properties
Volume = 34.64 A^3/atom
Magnetization = 0.000 μB per atom
Density = 7.1 g/cm3
Formation energy from the elements = 0.57 eV/f.u.
Space group = No. 14
Energy = -4.312 eV/atom

a = 6.2417 Å, b = 9.4230 Å, c = 13.1077 Å
α = 90.00°, β = 116.02°, γ = 90.00°
Fractional coordinates of all 20 atoms:
La1 0.0000 0.0000 0.0000
La2 0.0000 0.5000 0.5000
La3 0.3621 0.1782 0.7609
La4 0.3621 0.3218 0.2609
La5 0.6379 0.6782 0.7391
La6 0.6379 0.8218 0.2391
Nd1 0.0842 0.6459 0.0734
Nd2 0.0842 0.8541 0.5734
Nd3 0.1245 0.5392 0.7568
Nd4 0.1245 0.9608 0.2568
Nd5 0.4334 0.6671 0.4192
Nd6 0.4334 0.8329 0.9192
Nd7 0.5666 0.1671 0.0808
Nd8 0.5666 0.3329 0.5808
Nd9 0.8755 0.0392 0.7432
Nd10 0.8755 0.4608 0.2432
Nd11 0.9158 0.1459 0.4266
Nd12 0.9158 0.3541 0.9266
Hg1 0.5000 0.0000 0.5000
Hg2 0.5000 0.5000 0.0000

=====

No. 12
A plane-wave DFT calculation with GGA-PBE was carried out for an optimized crystal structure of LaNd2Hg.

## Properties
Distance to the lowest polymorph of the same formula = 0.000 eV per atom
Volume = 31.88 A^3/atom
Magnetization = 0.000 μB per atom
Density = 8.2 g/cm3
Formation energy from the elements = -0.94 eV/f.u.
Space group = No. 123
Energy = -3.927 eV/atom

a = 3.7991 Å, b = 3.7991 Å, c = 8.8356 Å
α = 90.00°, β = 90.00°, γ = 90.00°
Fractional coordinates of all 4 atoms:
La1 0.0000 0.0000 0.0000
Nd1 0.5000 0.5000 0.2814
Nd2 0.5000 0.5000 0.7186
Hg1 0.0000 0.0000 0.5000